Record 1
{
  "formula": "BaNi10P6",
  "functional": "PBEsol",
  "state": "relaxed",
  "cell": [[6.3512, 0.0000, 0.0000], [-3.1756, 8.0111, 0.0000], [0.0000, 0.0000, 8.6676]],
  "species": ["P", "P", "P", "P", "P", "P", "P", "P", "P", "P", "P", "P", "Ni", "Ni", "Ni", "Ni", "Ni", "Ni", "Ni", "Ni", "Ni", "Ni", "Ni", "Ni", "Ni", "Ni", "Ni", "Ni", "Ni", "Ni", "Ni", "Ni", "Ba", "Ba"],
  "fractional_positions": [[0.1405, 0.7811, 0.2500], [0.7916, 0.5832, 0.5746], [0.0898, 0.1796, 0.1283], [0.3595, 0.2189, 0.7500], [0.2084, 0.4168, 0.4254], [0.9102, 0.8204, 0.8717], [0.8595, 0.2189, 0.7500], [0.2916, 0.5832, 0.9254], [0.5898, 0.1796, 0.3717], [0.7084, 0.4168, 0.0746], [0.4102, 0.8204, 0.6283], [0.6405, 0.7811, 0.2500], [0.7098, 0.4196, 0.7947], [0.5456, 0.0911, 0.6178], [0.9123, 0.3246, 0.2500], [0.7902, 0.5804, 0.2947], [0.9544, 0.9089, 0.1178], [0.4123, 0.3246, 0.2500], [0.6271, 0.6499, 0.0289], [0.1271, 0.6499, 0.4711], [0.0229, 0.6499, 0.0289], [0.3729, 0.3501, 0.9711], [0.0456, 0.0911, 0.8822], [0.4544, 0.9089, 0.3822], [0.2902, 0.5804, 0.2053], [0.0877, 0.6754, 0.7500], [0.5877, 0.6754, 0.7500], [0.2098, 0.4196, 0.7053], [0.8729, 0.3501, 0.5289], [0.4771, 0.3501, 0.5289], [0.9771, 0.3501, 0.9711], [0.5229, 0.6499, 0.4711], [0.5000, 0.0000, 0.0000], [0.0000, 0.0000, 0.5000]],
  "ef_mev_per_atom": -700,
  "final_energy_ev_per_atom": -6.493,
  "m_tot_mub_per_atom": 0.0000
}

---

Record 2
{
  "formula": "Al3In2",
  "functional": "PBEsol",
  "state": "relaxed",
  "cell": [[-1.9615, -1.0804, -2.0996], [-2.3637, -1.7559, 0.8677], [-8.4286, 9.1246, 0.9348]],
  "species": ["In", "In", "Al", "Al", "Al"],
  "fractional_positions": [[0.5979, 0.5979, 0.2062], [0.4021, 0.4021, 0.7938], [0.8038, 0.8038, 0.5885], [0.0000, 0.0000, 0.0000], [0.1962, 0.1962, 0.4115]],
  "ef_mev_per_atom": 153,
  "final_energy_ev_per_atom": -3.495,
  "m_tot_mub_per_atom": 0.0000
}

---

Record 3
{
  "formula": "HgSb2As",
  "functional": "PBEsol",
  "state": "relaxed",
  "cell": [[-1.5243, 1.1185, 3.4912], [-3.6713, -2.2913, -0.8689], [2.1876, -4.4020, 2.3654]],
  "species": ["Sb", "Sb", "As", "Hg"],
  "fractional_positions": [[0.5000, 0.0000, 0.5000], [0.0000, 0.0000, 0.0000], [0.5000, 0.5000, 0.0000], [0.0000, 0.5000, 0.5000]],
  "formation_energy_uncorrected_ev_per_atom": 0.261,
  "final_energy_ev_per_atom": -3.436,
  "m_tot_mub_per_atom": 0.0000
}

---

Record 4
{
  "formula": "YBiPbC2",
  "functional": "PBEsol",
  "state": "relaxed",
  "cell": [[-3.9810, -1.3001, -1.5939], [1.0401, -4.2681, 0.8837], [-2.3465, 0.5489, 5.4130]],
  "species": ["C", "C", "Pb", "Bi", "Y"],
  "fractional_positions": [[0.0000, 0.5000, 0.0000], [0.5000, 0.0000, 0.0000], [0.0000, 0.0000, 0.0000], [0.0000, 0.0000, 0.5000], [0.5000, 0.5000, 0.5000]],
  "ef_mev_per_atom": 1995,
  "final_energy_ev_per_atom": -4.884,
  "m_tot_mub_per_atom": 0.0626
}